# ZnRe2Tc

Crystalline ZnRe2Tc at its relaxed geometry (PBE-GGA, Alexandria via LeMat-Bulk).

Results
E_tot, eV per atom: -9.0595
Symmetry: No. 160
Spin magnetization, μB/f.u.: 0.00

```
ZnRe2Tc
1.0
-5.083 -3.884 6.479
-4.829 -6.055 4.787
-2.861 -5.518 6.653
Re Tc Zn
2 1 1
Direct
0.999 0.999 0.999 Re
0.249 0.249 0.249 Re
0.501 0.501 0.501 Tc
0.751 0.751 0.751 Zn
```

=====

# ZnRe2Tc

Crystalline ZnRe2Tc at its relaxed geometry (PBE-GGA, Alexandria via LeMat-Bulk).

Results
E_tot, eV per atom: -8.8783
Symmetry: No. 139
Spin magnetization, μB/f.u.: 0.00

```
ZnRe2Tc
1.0
-4.072 -2.587 -0.968
-1.838 -2.446 3.853
1.465 4.626 -0.814
Re Tc Zn
2 1 1
Direct
0.000 0.000 0.000 Re
0.500 0.500 0.000 Re
0.250 0.750 0.500 Tc
0.750 0.250 0.500 Zn
```

=====

# ZnRe2Tc

Crystalline ZnRe2Tc at its relaxed geometry (PBE-GGA, Alexandria via LeMat-Bulk).

Results
E_tot, eV per atom: -8.7874
Symmetry: No. 123
Spin magnetization, μB/f.u.: 0.00

```
ZnRe2Tc
1.0
4.010 0.000 0.000
0.000 3.820 0.000
0.000 0.000 3.820
Re Tc Zn
2 1 1
Direct
0.000 0.000 0.000 Re
0.000 0.500 0.500 Re
0.500 0.500 0.000 Tc
0.500 0.000 0.500 Zn
```

=====

# ZnReTc

Crystalline ZnReTc at its relaxed geometry (PBE-GGA, Alexandria via LeMat-Bulk).

Results
E_tot, eV per atom: -7.4580
Symmetry: No. 216
Spin magnetization, μB/f.u.: 0.00

```
ZnReTc
1.0
4.176 0.000 0.000
2.088 3.617 0.000
2.088 1.206 3.410
Re Tc Zn
1 1 1
Direct
0.500 0.500 0.500 Re
0.750 0.750 0.750 Tc
0.000 0.000 0.000 Zn
```

=====

# ZnReTc2

Crystalline ZnReTc2 at its relaxed geometry (PBE-GGA, Alexandria via LeMat-Bulk).

Results
E_tot, eV per atom: -8.4845
Symmetry: No. 6
Spin magnetization, μB/f.u.: 0.00

```
ZnReTc2
1.0
3.994 0.000 0.000
0.000 2.748 -0.007
0.000 2.720 5.274
Re Tc Zn
1 2 1
Direct
0.500 0.747 0.748 Re
0.000 0.005 0.996 Tc
0.500 0.244 0.259 Tc
0.000 0.504 0.497 Zn
```

=====

# Zn2ReTc

Crystalline Zn2ReTc at its relaxed geometry (PBE-GGA, Alexandria via LeMat-Bulk).

Results
E_tot, eV per atom: -6.3067
Symmetry: No. 160
Spin magnetization, μB/f.u.: 0.00

```
Zn2ReTc
1.0
9.133 0.012 0.007
8.709 2.750 0.007
8.709 1.349 2.397
Re Zn Tc
1 2 1
Direct
0.497 0.497 0.497 Re
0.003 0.003 0.003 Zn
0.248 0.248 0.248 Zn
0.753 0.753 0.753 Tc
```